A relaxed structure of ReIr2Rh. Source: the Alexandria database, functional GGA-PBE.

It has space group Pnma (No. 62), with a = 4.776 Å, b = 4.389 Å, c = 11.066 Å, α = 90.00°, β = 90.00° and γ = 90.00°. The asymmetric unit holds Re at (0.079, 0.250, 0.185), Ir at (0.081, 0.250, 0.937), Ir at (0.086, 0.250, 0.689) and Rh at (0.081, 0.250, 0.436).


A relaxed structure of ReIr5Rh2. Source: the Alexandria database, functional GGA-PBE.

It has space group I4/mcm (No. 140), with a = 6.630 Å, b = 6.630 Å, c = 11.051 Å, α = 90.00°, β = 90.00° and γ = 90.00°. The asymmetric unit holds Re at (0.000, 0.000, 0.250), Ir at (0.000, 0.000, 0.000), Ir at (0.147, 0.353, 0.170) and Rh at (0.139, 0.361, 0.500).


A relaxed structure of ReIrRh2. Source: the Alexandria database, functional GGA-PBE.

It has space group P4mm (No. 99), with a = 2.731 Å, b = 2.731 Å, c = 7.751 Å, α = 90.00°, β = 90.00° and γ = 90.00°. The asymmetric unit holds Re at (0.000, 0.000, 0.000), Ir at (0.500, 0.500, 0.754), Rh at (0.000, 0.000, 0.501) and Rh at (0.500, 0.500, 0.245).


A relaxed structure of ReIr2Rh2. Source: the Alexandria database, functional GGA-PBE.

It has space group Immm (No. 71), with a = 4.139 Å, b = 5.422 Å, c = 6.990 Å, α = 90.00°, β = 90.00° and γ = 90.00°. The asymmetric unit holds Re at (0.000, 0.000, 0.000), Ir at (0.000, 0.225, 0.500) and Rh at (0.000, 0.500, 0.189).


A relaxed structure of ReIrRh3. Source: the Alexandria database, functional GGA-PBE.

It has space group Pmma (No. 51), with a = 9.007 Å, b = 2.695 Å, c = 6.504 Å, α = 90.00°, β = 90.00° and γ = 90.00°. The asymmetric unit holds Re at (0.250, 0.000, 0.088), Ir at (0.250, 0.500, 0.743), Rh at (0.000, 0.500, 0.000) and Rh at (0.108, 0.500, 0.384).


A relaxed structure of ReIrRh2. Source: the Alexandria database, functional GGA-PBE.

It has space group Pmmm (No. 47), with a = 2.713 Å, b = 3.911 Å, c = 5.425 Å, α = 90.00°, β = 90.00° and γ = 90.00°. The asymmetric unit holds Re at (0.000, 0.000, 0.000), Ir at (0.000, 0.000, 0.500) and Rh at (0.500, 0.500, 0.246).


A relaxed structure of ReIr2Rh. Source: the Alexandria database, functional GGA-PBE.

It has space group Pmm2 (No. 25), with a = 2.725 Å, b = 3.901 Å, c = 5.454 Å, α = 90.00°, β = 90.00° and γ = 90.00°. The asymmetric unit holds Re at (0.000, 0.000, 0.000), Ir at (0.000, 0.000, 0.500), Ir at (0.500, 0.500, 0.755) and Rh at (0.500, 0.500, 0.249).


A relaxed structure of Re2IrRh. Source: the Alexandria database, functional GGA-PBE.

It has space group R3m (No. 160, hexagonal axes), with a = 2.7552 Å, b = 2.7552 Å, c = 26.8230 Å, α = 90.00°, β = 90.00° and γ = 120.00°. The asymmetric unit holds Re at (0.0000, 0.0000, 0.0000), Re at (0.0000, 0.0000, 0.2481), Ir at (0.0000, 0.0000, 0.7479) and Rh at (0.0000, 0.0000, 0.5003).


A relaxed structure of Re2IrRh. Source: the Alexandria database, functional GGA-PBE.

It has space group Pmm2 (No. 25), with a = 2.732 Å, b = 4.391 Å, c = 4.839 Å, α = 90.00°, β = 90.00° and γ = 90.00°. The asymmetric unit holds Re at (0.000, 0.000, 0.000), Re at (0.000, 0.500, 0.326), Ir at (0.500, 0.000, 0.500) and Rh at (0.500, 0.500, 0.830).


A relaxed structure of ReIr2Rh. Source: the Alexandria database, functional GGA-PBE.

It has space group I4/mmm (No. 139), with a = 3.888 Å, b = 3.888 Å, c = 7.667 Å, α = 90.00°, β = 90.00° and γ = 90.00°. The asymmetric unit holds Re at (0.000, 0.000, 0.000), Ir at (0.000, 0.500, 0.250) and Rh at (0.000, 0.000, 0.500).


A relaxed structure of Re2IrRh. Source: the Alexandria database, functional GGA-PBE.

It has space group P4/mmm (No. 123), with a = 2.717 Å, b = 2.717 Å, c = 7.900 Å, α = 90.00°, β = 90.00° and γ = 90.00°. The asymmetric unit holds Re at (0.000, 0.000, 0.250), Ir at (0.500, 0.500, 0.000) and Rh at (0.500, 0.500, 0.500).


A relaxed structure of ReIrRh2. Source: the Alexandria database, functional GGA-PBE.

It has space group I4/mmm (No. 139), with a = 3.843 Å, b = 3.843 Å, c = 7.799 Å, α = 90.00°, β = 90.00° and γ = 90.00°. The asymmetric unit holds Re at (0.000, 0.000, 0.000), Ir at (0.000, 0.000, 0.500) and Rh at (0.000, 0.500, 0.250).


A relaxed structure of ReIr2Rh2. Source: the Alexandria database, functional GGA-PBE.

It has space group Immm (No. 71), with a = 2.732 Å, b = 3.869 Å, c = 13.673 Å, α = 90.00°, β = 90.00° and γ = 90.00°. The asymmetric unit holds Re at (0.000, 0.000, 0.000), Ir at (0.000, 0.000, 0.402) and Rh at (0.000, 0.000, 0.200).


Results for formation enthalpy at 0 K: -0.139, 0.260, -0.084, 0.411, 0.358, -0.062, -0.091, -0.037, -0.231, -0.095, -0.102, -0.044, -0.098 (in eV per atom, following the order of the records).